No. 1
Crystalline K2PmErSe4 at its relaxed geometry, computed with PBE.

Lattice parameters (Å, degrees): 7.3641 4.2516 8.0731 90.00 107.68 90.00
Closest atoms and distances in Å follow each position.
Space group P2/m (No. 10)
One atom of each set of equivalent atoms:
K 0.0000 0.0000 0.0000 [1 per cell]  6 Se 3.36-3.37
K 0.5000 0.5000 0.0000 [1 per cell]  6 Se 3.30-3.31
Pm 0.0000 0.5000 0.5000 [1 per cell]  6 Se 2.95-2.96
Er 0.5000 0.0000 0.5000 [1 per cell]  6 Se 2.88-2.89
Se 0.2435 0.0000 0.7082 [2 per cell]  1 Er 2.88, 2 Pm 2.95
Se 0.2723 0.5000 0.2951 [2 per cell]  2 Er 2.89, 1 Pm 2.96

No. 2
Crystalline K3Pm2ErSe6 at its relaxed geometry, computed with PBE.

Lattice parameters (Å, degrees): 7.4026 12.8224 8.0814 90.00 107.79 90.00
Closest atoms and distances in Å follow each position.
Space group C2/m (No. 12)
One atom of each set of equivalent atoms:
K 0.0000 0.0000 0.0000 [2 per cell]  6 Se 3.32-3.38
K 0.0000 0.3320 0.0000 [4 per cell]  6 Se 3.32-3.37
Pm 0.0000 0.1665 0.5000 [4 per cell]  6 Se 2.96-2.97
Er 0.0000 0.5000 0.5000 [2 per cell]  6 Se 2.89
Se 0.2318 0.3373 0.7075 [8 per cell]  1 Er 2.89, 2 Pm 2.97
Se 0.2441 0.0000 0.7076 [4 per cell]  1 Er 2.89, 2 Pm 2.96

No. 3
Crystalline KPmEr4Se8 at its relaxed geometry, computed with PBE.

Lattice parameters (Å, degrees): 8.5085 8.5085 21.2951 90.00 90.00 120.00
Closest atoms and distances in Å follow each position.
Space group R3m (No. 160, hexagonal axes)
One atom of each set of equivalent atoms:
K 0.0000 0.0000 0.0000 [3 per cell]  4 Se 2.93-2.95
Pm 0.0000 0.0000 0.6343 [3 per cell]  6 Se 2.87-3.06
Er 0.0000 0.0000 0.2550 [3 per cell]  4 Se 2.76-2.80
Er 0.1728 0.3457 0.4609 [9 per cell]  6 Se 2.77-3.00
Se 0.0000 0.0000 0.3867 [3 per cell]  4 Er 2.80-3.00
Se 0.0000 0.0000 0.8622 [3 per cell]  3 Er 2.77, 1 K 2.93
Se 0.0356 0.5178 0.3876 [9 per cell]  2 Er 2.77, 1 Pm 2.87, 1 K 2.95
Se 0.1744 0.3487 0.2082 [9 per cell]  3 Er 2.76-2.99, 1 Pm 3.06

No. 4
Crystalline K3Pm2ErTe6 at its relaxed geometry, computed with PBE.

Lattice parameters (Å, degrees): 7.8807 13.6519 8.6587 90.00 107.67 90.00
Closest atoms and distances in Å follow each position.
Space group C2/m (No. 12)
One atom of each set of equivalent atoms:
K 0.0000 0.0000 0.0000 [2 per cell]  6 Te 3.53-3.59
K 0.0000 0.3311 0.0000 [4 per cell]  6 Te 3.53-3.57
Pm 0.0000 0.1663 0.5000 [4 per cell]  6 Te 3.18
Er 0.0000 0.5000 0.5000 [2 per cell]  6 Te 3.10
Te 0.2331 0.3371 0.7109 [8 per cell]  1 Er 3.10, 2 Pm 3.18
Te 0.2450 0.0000 0.7117 [4 per cell]  1 Er 3.10, 2 Pm 3.18

No. 5
Crystalline K4Pm3ErTe8 at its relaxed geometry, computed with PBE.

Lattice parameters (Å, degrees): 9.1241 9.1241 24.7506 90.00 90.00 120.00
Closest atoms and distances in Å follow each position.
Space group R-3m (No. 166, hexagonal axes)
One atom of each set of equivalent atoms:
K 0.0000 0.0000 0.0000 [3 per cell]  6 Te 3.60
K 0.0000 0.5000 0.0000 [9 per cell]  6 Te 3.53
Pm 0.0000 0.5000 0.5000 [9 per cell]  6 Te 3.17-3.18
Er 0.0000 0.0000 0.5000 [3 per cell]  6 Te 3.11
Te 0.0000 0.0000 0.2381 [6 per cell]  3 Pm 3.17, 3 K 3.53
Te 0.0071 0.5035 0.2369 [18 per cell]  1 Er 3.11, 2 Pm 3.18

No. 6
Crystalline KPm3Er2Te6 at its relaxed geometry, computed with PBE.

Lattice parameters (Å, degrees): 19.5340 4.4173 9.0607 90.00 103.75 90.00
Closest atoms and distances in Å follow each position.
Space group C2/m (No. 12)
One atom of each set of equivalent atoms:
K 0.0000 0.0000 0.0000 [2 per cell]  6 Te 3.22-3.32
Pm 0.0000 0.0000 0.5000 [2 per cell]  6 Te 3.12-3.22
Pm 0.1572 0.5000 0.8157 [4 per cell]  6 Te 3.12-3.30
Er 0.1663 0.5000 0.3388 [4 per cell]  6 Te 3.02-3.17
Te 0.0073 0.5000 0.2615 [4 per cell]  1 Er 3.02, 3 Pm 3.12, 2 K 3.22
Te 0.1695 0.0000 0.5745 [4 per cell]  3 Er 3.06-3.12, 3 Pm 3.16-3.22
Te 0.1748 0.0000 0.0928 [4 per cell]  2 Er 3.17, 3 Pm 3.19-3.30, 1 K 3.32

No. 7
Crystalline K2PrErS4 at its relaxed geometry, computed with PBE.

Lattice parameters (Å, degrees): 7.1476 4.1235 7.7621 90.00 107.85 90.00
Closest atoms and distances in Å follow each position.
Space group P2/m (No. 10)
One atom of each set of equivalent atoms:
K 0.0000 0.0000 0.0000 [1 per cell]  6 S 3.27-3.28
K 0.5000 0.5000 0.0000 [1 per cell]  6 S 3.19
Pr 0.0000 0.5000 0.5000 [1 per cell]  6 S 2.86-2.87
Er 0.5000 0.0000 0.5000 [1 per cell]  6 S 2.76-2.78
S 0.2467 0.0000 0.7065 [2 per cell]  1 Er 2.76, 2 Pr 2.86
S 0.2766 0.5000 0.2982 [2 per cell]  2 Er 2.78, 1 Pr 2.87

No. 8
Crystalline K3Pr2ErS6 at its relaxed geometry, computed with PBE.

Lattice parameters (Å, degrees): 7.2053 12.4801 7.7765 90.00 108.02 90.00
Closest atoms and distances in Å follow each position.
Space group C2/m (No. 12)
One atom of each set of equivalent atoms:
K 0.0000 0.0000 0.0000 [2 per cell]  6 S 3.21-3.31
K 0.0000 0.3324 0.0000 [4 per cell]  6 S 3.21-3.30
Pr 0.0000 0.1665 0.5000 [4 per cell]  6 S 2.88
Er 0.0000 0.5000 0.5000 [2 per cell]  6 S 2.77
S 0.2293 0.3393 0.7057 [8 per cell]  1 Er 2.77, 2 Pr 2.88
S 0.2474 0.0000 0.7054 [4 per cell]  1 Er 2.77, 2 Pr 2.88

No. 9
Crystalline K3PrEr2S6 at its relaxed geometry, computed with PBE.

Lattice parameters (Å, degrees): 7.0818 12.2672 7.7513 90.00 107.75 90.00
Closest atoms and distances in Å follow each position.
Space group C2/m (No. 12)
One atom of each set of equivalent atoms:
K 0.0000 0.0000 0.0000 [2 per cell]  6 S 3.16-3.26
K 0.0000 0.3347 0.0000 [4 per cell]  6 S 3.17-3.26
Pr 0.0000 0.5000 0.5000 [2 per cell]  6 S 2.87
Er 0.0000 0.1668 0.5000 [4 per cell]  6 S 2.76
S 0.2221 0.0000 0.7026 [4 per cell]  2 Er 2.76, 1 Pr 2.87
S 0.2404 0.3272 0.7026 [8 per cell]  2 Er 2.76, 1 Pr 2.87

No. 10
Crystalline KPrEr4S8 at its relaxed geometry, computed with PBE.

Lattice parameters (Å, degrees): 8.1475 8.1475 20.5476 90.00 90.00 120.00
Closest atoms and distances in Å follow each position.
Space group R3m (No. 160, hexagonal axes)
One atom of each set of equivalent atoms:
K 0.0000 0.0000 0.0000 [3 per cell]  4 S 2.85-2.86
Pr 0.0000 0.0000 0.6343 [3 per cell]  6 S 2.78-2.96
Er 0.0000 0.0000 0.2555 [3 per cell]  4 S 2.63-2.70
Er 0.1725 0.3451 0.4617 [9 per cell]  6 S 2.64-2.88
S 0.0000 0.0000 0.3869 [3 per cell]  4 Er 2.70-2.88
S 0.0000 0.0000 0.8615 [3 per cell]  3 Er 2.65, 1 K 2.85
S 0.0368 0.5184 0.3899 [9 per cell]  2 Er 2.64, 1 Pr 2.78, 1 K 2.86
S 0.1731 0.3462 0.2080 [9 per cell]  3 Er 2.63-2.87

No. 11
Crystalline K3Pr2ErSe6 at its relaxed geometry, computed with PBE.

Lattice parameters (Å, degrees): 7.4747 12.9482 8.0988 90.00 107.95 90.00
Closest atoms and distances in Å follow each position.
Space group C2/m (No. 12)
One atom of each set of equivalent atoms:
K 0.0000 0.0000 0.0000 [2 per cell]  6 Se 3.32-3.42
K 0.0000 0.3316 0.0000 [4 per cell]  6 Se 3.32-3.40
Pr 0.0000 0.1664 0.5000 [4 per cell]  6 Se 3.00-3.01
Er 0.0000 0.5000 0.5000 [2 per cell]  6 Se 2.90
Se 0.2307 0.3390 0.7091 [8 per cell]  1 Er 2.90, 2 Pr 3.00-3.01
Se 0.2481 0.0000 0.7092 [4 per cell]  1 Er 2.90, 2 Pr 3.00

No. 12
Crystalline K3PrEr2Se6 at its relaxed geometry, computed with PBE.

Lattice parameters (Å, degrees): 7.3571 12.7445 8.0741 90.00 107.72 90.00
Closest atoms and distances in Å follow each position.
Space group C2/m (No. 12)
One atom of each set of equivalent atoms:
K 0.0000 0.0000 0.0000 [2 per cell]  6 Se 3.27-3.37
K 0.0000 0.3353 0.0000 [4 per cell]  6 Se 3.29-3.37
Pr 0.0000 0.5000 0.5000 [2 per cell]  6 Se 2.99
Er 0.0000 0.1669 0.5000 [4 per cell]  6 Se 2.88-2.89
Se 0.2238 0.0000 0.7060 [4 per cell]  2 Er 2.89, 1 Pr 2.99
Se 0.2414 0.3276 0.7063 [8 per cell]  2 Er 2.88-2.89, 1 Pr 2.99

No. 13
Crystalline KPrEr4Se8 at its relaxed geometry, computed with PBE.

Lattice parameters (Å, degrees): 8.5060 8.5060 21.4651 90.00 90.00 120.00
Closest atoms and distances in Å follow each position.
Space group R3m (No. 160, hexagonal axes)
One atom of each set of equivalent atoms:
K 0.0000 0.0000 0.0000 [3 per cell]  4 Se 2.94-2.96
Pr 0.0000 0.0000 0.6355 [3 per cell]  6 Se 2.91-3.10
Er 0.0000 0.0000 0.2566 [3 per cell]  4 Se 2.75-2.82
Er 0.1728 0.3456 0.4622 [9 per cell]  6 Se 2.77-3.00
Se 0.0000 0.0000 0.3880 [3 per cell]  4 Er 2.82-3.00
Se 0.0000 0.0000 0.8631 [3 per cell]  3 Er 2.77, 1 K 2.94
Se 0.0333 0.5166 0.3901 [9 per cell]  2 Er 2.77, 1 Pr 2.91, 1 K 2.96
Se 0.1733 0.3466 0.2087 [9 per cell]  3 Er 2.75-3.00

No. 14
Crystalline K2PrErTe4 at its relaxed geometry, computed with PBE.

Lattice parameters (Å, degrees): 7.9004 4.5585 8.6616 90.00 107.68 90.00
Closest atoms and distances in Å follow each position.
Space group P2/m (No. 10)
One atom of each set of equivalent atoms:
K 0.0000 0.0000 0.0000 [1 per cell]  6 Te 3.59-3.60
K 0.5000 0.5000 0.0000 [1 per cell]  6 Te 3.51
Pr 0.0000 0.5000 0.5000 [1 per cell]  6 Te 3.20-3.21
Er 0.5000 0.0000 0.5000 [1 per cell]  6 Te 3.10-3.11
Te 0.2480 0.0000 0.7137 [2 per cell]  1 Er 3.10, 2 Pr 3.20
Te 0.2735 0.5000 0.2913 [2 per cell]  2 Er 3.11, 1 Pr 3.21

No. 15
Crystalline KPr2ErTe4 at its relaxed geometry, computed with PBE.

Lattice parameters (Å, degrees): 7.9141 4.4770 7.9200 90.00 108.41 90.00
Closest atoms and distances in Å follow each position.
Space group P2/m (No. 10)
One atom of each set of equivalent atoms:
K 0.0000 0.0000 0.0000 [1 per cell]  6 Te 3.24-3.28
Pr 0.5000 0.0000 0.5000 [1 per cell]  6 Te 3.17-3.18
Pr 0.5000 0.5000 0.0000 [1 per cell]  6 Te 3.29-3.30
Er 0.0000 0.5000 0.5000 [1 per cell]  6 Te 3.13-3.14
Te 0.2402 0.0000 0.7354 [2 per cell]  2 Er 3.14, 3 Pr 3.18-3.30, 1 K 3.24
Te 0.2523 0.5000 0.2647 [2 per cell]  1 Er 3.13, 3 Pr 3.17-3.29, 2 K 3.28

No. 16
Crystalline K3ErPu2S6 at its relaxed geometry, computed with PBE.

Lattice parameters (Å, degrees): 7.0725 12.2503 7.7109 90.00 107.80 90.00
Closest atoms and distances in Å follow each position.
Space group C2/m (No. 12)
One atom of each set of equivalent atoms:
K 0.0000 0.0000 0.0000 [2 per cell]  6 S 3.21-3.24
K 0.0000 0.3331 0.0000 [4 per cell]  6 S 3.21-3.24
Er 0.0000 0.5000 0.5000 [2 per cell]  6 S 2.76
Pu 0.0000 0.1667 0.5000 [4 per cell]  6 S 2.79
S 0.2317 0.3352 0.7006 [8 per cell]  1 Er 2.76, 2 Pu 2.79
S 0.2371 0.0000 0.7005 [4 per cell]  1 Er 2.76, 2 Pu 2.79

No. 17
Crystalline K2ErPuS4 at its relaxed geometry, computed with PBE.

Lattice parameters (Å, degrees): 7.0621 4.0716 7.7090 90.00 107.80 90.00
Closest atoms and distances in Å follow each position.
Space group P2/m (No. 10)
One atom of each set of equivalent atoms:
K 0.0000 0.0000 0.0000 [1 per cell]  6 S 3.19-3.21
K 0.5000 0.5000 0.0000 [1 per cell]  6 S 3.23-3.25
Er 0.0000 0.5000 0.5000 [1 per cell]  6 S 2.75-2.76
Pu 0.5000 0.0000 0.5000 [1 per cell]  6 S 2.78-2.81
S 0.2282 0.0000 0.7010 [2 per cell]  2 Er 2.76, 1 Pu 2.81
S 0.2628 0.5000 0.3002 [2 per cell]  1 Er 2.75, 2 Pu 2.78

No. 18
Crystalline K3Er3PuS8 at its relaxed geometry, computed with PBE.

Lattice parameters (Å, degrees): 7.9908 7.9908 22.4022 90.00 90.00 120.00
Closest atoms and distances in Å follow each position.
Space group R-3m (No. 166, hexagonal axes)
One atom of each set of equivalent atoms:
K 0.0000 0.5000 0.0000 [9 per cell]  6 S 3.22-3.24
Er 0.0000 0.5000 0.5000 [9 per cell]  6 S 2.74
Pu 0.0000 0.0000 0.5000 [3 per cell]  6 S 2.70
S 0.0000 0.0000 0.2329 [6 per cell]  3 Er 2.74
S 0.0036 0.5018 0.2315 [18 per cell]  1 Pu 2.70, 2 Er 2.74

No. 19
Crystalline K3ErPu3S8 at its relaxed geometry, computed with PBE.

Lattice parameters (Å, degrees): 8.0933 8.0933 22.2779 90.00 90.00 120.00
Closest atoms and distances in Å follow each position.
Space group R-3m (No. 166, hexagonal axes)
One atom of each set of equivalent atoms:
K 0.0000 0.5000 0.0000 [9 per cell]  6 S 3.24-3.26
Er 0.0000 0.0000 0.5000 [3 per cell]  6 S 2.73
Pu 0.0000 0.5000 0.5000 [9 per cell]  6 S 2.75-2.76
S 0.0000 0.0000 0.2324 [6 per cell]  3 Pu 2.76
S 0.0015 0.5007 0.2312 [18 per cell]  1 Er 2.73, 2 Pu 2.75

No. 20
Crystalline K2Er2PuS6 at its relaxed geometry, computed with PBE.

Lattice parameters (Å, degrees): 6.9009 11.9415 7.8744 90.00 107.11 90.00
Closest atoms and distances in Å follow each position.
Space group C2/m (No. 12)
One atom of each set of equivalent atoms:
K 0.0000 0.1682 0.0000 [4 per cell]  6 S 3.25
Er 0.0000 0.3336 0.5000 [4 per cell]  6 S 2.73-2.74
Pu 0.0000 0.0000 0.5000 [2 per cell]  6 S 2.69-2.71
S 0.2290 0.1657 0.6942 [8 per cell]  1 Pu 2.71, 2 Er 2.73-2.74
S 0.2377 0.5000 0.6938 [4 per cell]  1 Pu 2.69, 2 Er 2.74

Number 1: E -4.94 eV per atom. Number 2: E -4.95 eV per atom. Number 3: E -5.45 eV per atom. Number 4: E -4.42 eV per atom. Number 5: E -4.43 eV per atom. Number 6: E -4.93 eV per atom. Number 7: E -5.36 eV per atom. Number 8: E -5.37 eV per atom. Number 9: E -5.36 eV per atom. Number 10: E -6.00 eV per atom. Number 11: E -4.94 eV per atom. Number 12: E -4.93 eV per atom. Number 13: E -5.45 eV per atom. Number 14: E -4.41 eV per atom. Number 15: E -4.81 eV per atom. Number 16: E -6.79 eV per atom. Number 17: E -6.42 eV per atom. Number 18: E -6.08 eV per atom. Number 19: E -7.24 eV per atom. Number 20: E -6.34 eV per atom.